Here is RbAlSn after structural relaxation from Alexandria via LeMat-Bulk. Energies are from PBE.

a b c (Å): 4.6284 6.4868 7.5593
angles (deg): 95.00 105.03 107.93
Last column: nearest neighbours and their distance in Å.
Fractional coordinates of all 6 atoms:
Rb: 0.2291 0.2860 0.1449  4 Al 3.58-3.90, 3 Sn 3.62-4.00, 1 Rb 3.79
Rb: 0.7709 0.7140 0.8551  4 Al 3.58-3.90, 3 Sn 3.62-4.00, 1 Rb 3.79
Al: 0.0392 0.6995 0.4515  1 Al 2.69, 3 Sn 2.80-2.84
Al: 0.9608 0.3005 0.5485  1 Al 2.69, 3 Sn 2.80-2.84
Sn: 0.4345 0.1164 0.6738  3 Al 2.80-2.84
Sn: 0.5655 0.8836 0.3262  3 Al 2.80-2.84

E_form = -85.5 meV/atom
Space-group type = No. 2

=====

Here is LiSi2As after structural relaxation from Alexandria via LeMat-Bulk. Energies are from PBE.

a b c (Å): 3.5054 3.5054 5.7647
angles (deg): 90.00 90.00 90.00
Last column: nearest neighbours and their distance in Å.
Fractional coordinates of all 4 atoms:
Li: 0.0000 0.0000 0.0000  2 As 2.88, 8 Si 2.99
Si: 0.5000 0.5000 0.2902  1 Si 2.42
Si: 0.5000 0.5000 0.7098  1 Si 2.42
As: 0.0000 0.0000 0.5000  8 Si 2.76, 2 Li 2.88

Space-group type = No. 123
Raw formation energy = 211 meV per atom

=====

Here is YFe2Si after structural relaxation from Alexandria via LeMat-Bulk. Energies are from PBE.

a b c (Å): 3.1337 4.1847 5.1460
angles (deg): 90.00 96.83 90.00
Last column: nearest neighbours and their distance in Å.
Fractional coordinates of all 4 atoms:
Y: 0.0000 0.0000 0.0000  4 Si 2.85-3.17, 4 Fe 2.90, 2 Y 3.13
Fe: 0.3172 0.5000 0.6817  2 Fe 2.31-2.56, 2 Si 2.39
Fe: 0.6828 0.5000 0.3183  2 Fe 2.31-2.56, 2 Si 2.39
Si: 0.5000 0.0000 0.5000  4 Fe 2.39

Space-group type = No. 10
Raw formation energy = 35 meV per atom

=====

Here is LiNpPa2Se4 after structural relaxation from Alexandria via LeMat-Bulk. Energies are from PBE.

a b c (Å): 7.0200 3.9987 7.0357
angles (deg): 90.00 109.05 90.00
Last column: nearest neighbours and their distance in Å.
Fractional coordinates of all 8 atoms:
Li: 0.0000 0.0000 0.0000  6 Se 2.76-2.78
Np: 0.5000 0.5000 0.0000  6 Se 2.85-2.88
Pa: 0.0000 0.5000 0.5000  6 Se 2.85-2.86
Pa: 0.5000 0.0000 0.5000  6 Se 2.94-2.96
Se: 0.2352 0.5000 0.2376  2 Li 2.78, 3 Pa 2.85-2.94, 1 Np 2.88
Se: 0.2419 0.0000 0.7599  1 Li 2.76, 2 Np 2.85, 3 Pa 2.86-2.96
Se: 0.7581 0.0000 0.2401  1 Li 2.76, 2 Np 2.85, 3 Pa 2.86-2.96
Se: 0.7648 0.5000 0.7624  2 Li 2.78, 3 Pa 2.85-2.94, 1 Np 2.88

Space-group type = No. 10
Raw formation energy = -1199 meV per atom